# KSc2Ir

KSc2Ir after structural relaxation (GGA-PBE, the Alexandria database).

Lattice parameters (Å, degrees): 4.983 4.983 4.983 60.00 60.00 60.00
Sites, in units of the cell vectors:
Ir (0.500, 0.500, 0.500)
K (0.750, 0.750, 0.750)
Sc (0.000, 0.000, 0.000)
Sc (0.250, 0.250, 0.250)

## Properties
**ΔH_f (0 K)**: 0.54 eV/atom
**Space-group type**: No. 216
**V**: 87.5 Å³ per cell
**Raw total energy**: -20.45 eV per cell

---

# PmSm5Ag6

PmSm5Ag6 after structural relaxation (GGA-PBE, the Alexandria database).

Lattice parameters (Å, degrees): 5.288 7.343 8.362 90.00 71.57 90.00
Sites, in units of the cell vectors:
Ag (0.833, 0.749, 0.335)
Ag (0.833, 0.251, 0.335)
Ag (0.500, 0.251, 0.000)
Ag (0.500, 0.749, 0.000)
Ag (0.167, 0.749, 0.665)
Ag (0.167, 0.251, 0.665)
Sm (0.666, 0.500, 0.667)
Sm (0.333, 0.000, 0.334)
Sm (0.000, 0.500, 0.000)
Sm (0.667, 0.000, 0.666)
Sm (0.334, 0.500, 0.333)
Pm (0.000, 0.000, 0.000)

## Properties
**ΔH_f (0 K)**: -0.28 eV/atom
**Space-group type**: No. 65
**V**: 308.0 Å³ per cell
**Raw total energy**: -48.79 eV per cell

---

# Pa2Ge4Pd3Rh

Pa2Ge4Pd3Rh after structural relaxation (GGA-PBE, the Alexandria database).

Lattice parameters (Å, degrees): 4.308 4.308 9.911 90.00 90.00 90.00
Sites, in units of the cell vectors:
Pa (0.500, 0.000, 0.255)
Pa (0.000, 0.500, 0.745)
Ge (0.500, 0.500, 0.000)
Ge (0.000, 0.000, 0.000)
Ge (0.500, 0.000, 0.631)
Ge (0.000, 0.500, 0.369)
Pd (0.000, 0.000, 0.500)
Pd (0.500, 0.000, 0.874)
Pd (0.000, 0.500, 0.126)
Rh (0.500, 0.500, 0.500)

## Properties
**ΔH_f (0 K)**: -0.61 eV/atom
**Space-group type**: No. 115
**V**: 184.0 Å³ per cell
**Raw total energy**: -66.48 eV per cell

---

# AlCr2Cd

AlCr2Cd after structural relaxation (GGA-PBE, the Alexandria database).

Lattice parameters (Å, degrees): 4.120 2.706 5.341 80.54 90.00 90.00
Sites, in units of the cell vectors:
Cr (0.000, 0.065, 0.039)
Cr (0.500, 0.207, 0.240)
Al (0.000, 0.518, 0.464)
Cd (0.500, 0.710, 0.758)

## Properties
**ΔH_f (0 K)**: 0.30 eV/atom
**Space-group type**: No. 6
**V**: 58.7 Å³ per cell
**Raw total energy**: -22.71 eV per cell

---

# CaAcMgNi

CaAcMgNi after structural relaxation (GGA-PBE, the Alexandria database).

Lattice parameters (Å, degrees): 5.368 5.368 5.368 60.00 60.00 60.00
Sites, in units of the cell vectors:
Mg (0.500, 0.500, 0.500)
Ni (0.000, 0.000, 0.000)
Ac (0.250, 0.250, 0.250)
Ca (0.750, 0.750, 0.750)

## Properties
**ΔH_f (0 K)**: 0.03 eV/atom
**Space-group type**: No. 216
**V**: 109.4 Å³ per cell
**Raw total energy**: -13.37 eV per cell

---

# SrCdCo2

SrCdCo2 after structural relaxation (GGA-PBE, the Alexandria database).

Lattice parameters (Å, degrees): 4.653 4.653 5.957 65.94 65.94 53.01
Sites, in units of the cell vectors:
Cd (0.750, 0.750, 0.750)
Co (0.045, 0.045, 0.798)
Co (0.455, 0.455, 0.702)
Sr (0.250, 0.250, 0.250)

## Properties
**ΔH_f (0 K)**: 0.21 eV/atom
**Space-group type**: No. 12
**V**: 91.7 Å³ per cell
**Raw total energy**: -15.99 eV per cell

---

# Ca2PrAu

Ca2PrAu after structural relaxation (GGA-PBE, the Alexandria database).

Lattice parameters (Å, degrees): 6.614 7.615 10.395 90.00 90.00 90.00
Sites, in units of the cell vectors:
Ca (0.166, 0.680, 0.062)
Ca (0.334, 0.180, 0.438)
Ca (0.834, 0.320, 0.562)
Ca (0.666, 0.820, 0.938)
Ca (0.834, 0.320, 0.938)
Ca (0.666, 0.820, 0.562)
Ca (0.166, 0.680, 0.438)
Ca (0.334, 0.180, 0.062)
Pr (0.637, 0.531, 0.250)
Pr (0.863, 0.031, 0.250)
Pr (0.363, 0.469, 0.750)
Pr (0.137, 0.969, 0.750)
Au (0.063, 0.386, 0.250)
Au (0.437, 0.886, 0.250)
Au (0.937, 0.614, 0.750)
Au (0.563, 0.114, 0.750)

## Properties
**ΔH_f (0 K)**: -0.41 eV/atom
**Space-group type**: No. 62
**V**: 523.6 Å³ per cell
**Raw total energy**: -54.74 eV per cell

---

# AcTbSm4Er2

AcTbSm4Er2 after structural relaxation (GGA-PBE, the Alexandria database).

Lattice parameters (Å, degrees): 5.980 5.963 9.704 52.05 90.00 90.00
Sites, in units of the cell vectors:
Ac (0.500, 0.500, 0.000)
Tb (0.000, 0.500, 0.500)
Sm (0.000, 0.767, 0.733)
Sm (0.000, 0.233, 0.267)
Sm (0.500, 0.732, 0.268)
Sm (0.500, 0.268, 0.732)
Er (0.000, 0.000, 0.000)
Er (0.500, 0.000, 0.500)

## Properties
**ΔH_f (0 K)**: 0.13 eV/atom
**Space-group type**: No. 47
**V**: 272.9 Å³ per cell
**Raw total energy**: -35.69 eV per cell

---

# Ti2ZnBr

Ti2ZnBr after structural relaxation (GGA-PBE, the Alexandria database).

Lattice parameters (Å, degrees): 5.511 5.511 7.355 68.00 68.00 90.00
Sites, in units of the cell vectors:
Zn (0.500, 0.500, 0.000)
Zn (0.250, 0.750, 0.500)
Br (0.000, 0.000, 0.000)
Br (0.750, 0.250, 0.500)
Ti (0.603, 0.125, 0.250)
Ti (0.147, 0.625, 0.250)
Ti (0.375, 0.397, 0.750)
Ti (0.875, 0.853, 0.750)

## Properties
**Space-group type**: No. 122
**Energy relative to the elements, uncorrected**: 0.541 eV per atom
**V**: 189.4 Å³ per cell
**Raw total energy**: -33.15 eV per cell

---

# NaAsO2

NaAsO2 after structural relaxation (GGA-PBE, the Alexandria database).

Lattice parameters (Å, degrees): 5.061 5.061 6.224 66.01 66.01 90.00
Sites, in units of the cell vectors:
Na (0.500, 0.500, 0.000)
Na (0.250, 0.750, 0.500)
As (0.000, 0.000, 0.000)
As (0.750, 0.250, 0.500)
O (0.685, 0.125, 0.250)
O (0.065, 0.625, 0.250)
O (0.375, 0.315, 0.750)
O (0.875, 0.935, 0.750)

## Properties
**Space-group type**: No. 122
**Energy relative to the elements, uncorrected**: -1.092 eV per atom
**V**: 130.4 Å³ per cell
**Raw total energy**: -40.50 eV per cell

---

# LiHgOs

LiHgOs after structural relaxation (GGA-PBE, the Alexandria database).

Lattice parameters (Å, degrees): 7.565 7.346 2.751 83.89 74.92 21.20
Sites, in units of the cell vectors:
Hg (0.996, 0.996, 0.004)
Li (0.327, 0.327, 0.673)
Os (0.677, 0.677, 0.323)

## Properties
**ΔH_f (0 K)**: 0.45 eV/atom
**Space-group type**: No. 42
**V**: 49.1 Å³ per cell
**Raw total energy**: -12.10 eV per cell

---

# La3PrCd

La3PrCd after structural relaxation (GGA-PBE, the Alexandria database).

Lattice parameters (Å, degrees): 5.966 8.413 7.677 90.00 90.00 110.81
Sites, in units of the cell vectors:
La (0.178, 0.855, 0.502)
La (0.822, 0.145, 0.498)
La (0.178, 0.855, 0.998)
La (0.822, 0.145, 0.002)
La (0.616, 0.730, 0.250)
La (0.384, 0.270, 0.750)
Pr (0.378, 0.257, 0.250)
Pr (0.622, 0.743, 0.750)
Cd (0.000, 0.499, 0.250)
Cd (0.000, 0.501, 0.750)

## Properties
**ΔH_f (0 K)**: 0.00 eV/atom
**Space-group type**: No. 11
**V**: 360.2 Å³ per cell
**Raw total energy**: -40.98 eV per cell

---

Question: Number 1 is which compound?
Answer: KSc2Ir

---

Question: Which value of V does entry 1 give?
Answer: 87.5 Å³ per cell

---

Question: Which of these has the lowest V?
Answer: LiHgOs

---

Question: Among the records above, which one has the lowest V?
Answer: LiHgOs